This record from the Alexandria database describes an optimized crystal structure of SmScRu4. The functional is PBE.

CIF file:
```
data_SmScRu4
_chemical_formula_sum 'Sm4 Sc4 Ru16'
_space_group_name_H-M_alt 'F -4 3 m'
_space_group_IT_number 216
_space_group_name_Hall 'F -4 2 3'
_cell_length_a 7.4901
_cell_length_b 7.4901
_cell_length_c 7.4901
_cell_angle_alpha 90.00
_cell_angle_beta 90.00
_cell_angle_gamma 90.00
loop_
_atom_site_label
_atom_site_type_symbol
_atom_site_fract_x
_atom_site_fract_y
_atom_site_fract_z
Sm1 Sm 0.0000 0.0000 0.0000
Sc1 Sc 0.2500 0.2500 0.2500
Ru1 Ru 0.1245 0.1245 0.6245
```

Calculated values
volume: 420 Å³/cell
E_form: -0.252 eV per atom
electronic total energy: -198.7 eV/cell